# 1
VASP calculation (PBE) on Dy5ErTm4 after structural relaxation.

Results
The calculation puts the relative energy among the computed polymorphs at 2.76 eV per formula unit. Its formation energy is 314 meV per atom.

Lattice parameters (Å, degrees): 7.7710 7.7710 7.7710 99.30 99.30 132.60
Closest atoms and distances in Å follow each position.
Positions (direct):
Dy (0.0000, 0.0000, 0.0000)  1 Er 2.87
Dy (0.4960, 0.5844, 0.6226)  4 Tm 3.18-3.47, 1 Er 3.23, 1 Dy 3.24
Dy (0.5844, 0.9618, 0.0884)  4 Tm 3.18-3.47, 1 Er 3.23, 1 Dy 3.24
Dy (0.8734, 0.4960, 0.9116)  4 Tm 3.18-3.47, 1 Er 3.23, 1 Dy 3.24
Dy (0.9618, 0.8734, 0.3774)  4 Tm 3.18-3.47, 1 Er 3.23, 1 Dy 3.24
Er (0.4591, 0.4591, 0.0000)  1 Dy 2.87
Tm (0.1811, 0.5757, 0.2975)  4 Dy 3.18-3.47, 1 Tm 3.25
Tm (0.2782, 0.8836, 0.7025)  4 Dy 3.18-3.47, 1 Tm 3.25
Tm (0.5757, 0.2782, 0.3946)  4 Dy 3.18-3.47, 1 Tm 3.25
Tm (0.8836, 0.1811, 0.6054)  4 Dy 3.18-3.47, 1 Tm 3.25



# 2
VASP calculation (PBE) on Th2Ga3Cu5 after structural relaxation.

Results
The calculation puts the relative energy among the computed polymorphs at 0.56 eV per formula unit. Its formation energy is -281 meV per atom.

Lattice parameters (Å, degrees): 4.1771 4.1771 10.2086 90.00 90.00 90.00
Closest atoms and distances in Å follow each position.
Positions (direct):
Th (0.0000, 0.5000, 0.2328)  10 Cu 3.15-3.44, 6 Ga 3.22-3.44
Th (0.5000, 0.0000, 0.7672)  10 Cu 3.15-3.44, 6 Ga 3.22-3.44
Ga (0.0000, 0.5000, 0.6413)  3 Cu 2.39-2.54, 2 Ga 2.54
Ga (0.5000, 0.0000, 0.3587)  3 Cu 2.39-2.54, 2 Ga 2.54
Ga (0.5000, 0.5000, 0.5000)  4 Ga 2.54
Cu (0.0000, 0.0000, 0.0000)  4 Cu 2.45
Cu (0.0000, 0.0000, 0.5000)  4 Ga 2.54
Cu (0.0000, 0.5000, 0.8749)  1 Ga 2.39, 4 Cu 2.45
Cu (0.5000, 0.0000, 0.1251)  1 Ga 2.39, 4 Cu 2.45
Cu (0.5000, 0.5000, 0.0000)  4 Cu 2.45



# 3
VASP calculation (PBE) on CsP2Rh4 after structural relaxation.

Results
Its formation energy is -466 meV per atom.

Lattice parameters (Å, degrees): 9.3214 9.3214 3.8636 90.00 90.00 155.06
Closest atoms and distances in Å follow each position.
Positions (direct):
Cs (0.0000, 0.0000, 0.0000)  8 P 3.66, 4 Cs 3.86-4.03, 4 Rh 3.96
P (0.3703, 0.6297, 0.5000)  4 Rh 2.29-2.31
P (0.6297, 0.3703, 0.5000)  4 Rh 2.29-2.31
Rh (0.1899, 0.8101, 0.5000)  2 P 2.29
Rh (0.3006, 0.6994, 0.0000)  2 P 2.31
Rh (0.6994, 0.3006, 0.0000)  2 P 2.31
Rh (0.8101, 0.1899, 0.5000)  2 P 2.29



# 4
VASP calculation (PBE) on LaTbAgPd after structural relaxation.

Results
The calculation puts the relative energy among the computed polymorphs at 0.08 eV per formula unit. Its formation energy is -521 meV per atom.

Lattice parameters (Å, degrees): 5.1969 5.1969 5.1969 60.00 60.00 60.00
Closest atoms and distances in Å follow each position.
Positions (direct):
La (0.0000, 0.0000, 0.0000)  4 Pd 3.18, 4 Ag 3.18
Tb (0.5000, 0.5000, 0.5000)  4 Ag 3.18, 4 Pd 3.18
Ag (0.7500, 0.7500, 0.7500)  4 Tb 3.18, 4 La 3.18
Pd (0.2500, 0.2500, 0.2500)  4 Tb 3.18, 4 La 3.18



# 5
VASP calculation (PBE) on CaFeTc3 after structural relaxation.

Results
The calculation puts the relative energy among the computed polymorphs at 9.87 eV per formula unit. Its formation energy is 2921 meV per atom.

Lattice parameters (Å, degrees): 4.4772 4.4772 4.4772 90.00 90.00 90.00
Closest atoms and distances in Å follow each position.
Positions (direct):
Ca (0.0000, 0.0000, 0.0000)  6 Tc 2.24
Fe (0.5000, 0.5000, 0.5000)  12 Tc 3.17
Tc (0.0000, 0.0000, 0.5000)  2 Ca 2.24
Tc (0.0000, 0.5000, 0.0000)  2 Ca 2.24
Tc (0.5000, 0.0000, 0.0000)  2 Ca 2.24



# 6
VASP calculation (PBE) on MnIrRu after structural relaxation.

Results
The calculation puts the relative energy among the computed polymorphs at 0.87 eV per formula unit. Its formation energy is 236 meV per atom.

Lattice parameters (Å, degrees): 6.9820 6.7430 2.6891 83.74 73.75 22.51
Closest atoms and distances in Å follow each position.
Positions (direct):
Mn (0.0000, 0.0000, 0.0000)  2 Ru 2.52, 2 Ir 2.56, 6 Mn 2.69-2.81
Ir (0.6621, 0.6621, 0.3379)  2 Mn 2.56, 6 Ir 2.69-2.81, 2 Ru 2.76
Ru (0.3418, 0.3418, 0.6582)  2 Mn 2.52, 6 Ru 2.69-2.81, 2 Ir 2.76



# 7
VASP calculation (PBE) on Tb5DyAl4 after structural relaxation.

Results
The calculation puts the relative energy among the computed polymorphs at 0.00 eV per formula unit. Its formation energy is -307 meV per atom.

Lattice parameters (Å, degrees): 3.5887 3.5887 19.7385 90.00 90.00 90.00
Closest atoms and distances in Å follow each position.
Positions (direct):
Tb (0.0000, 0.0000, 0.0000)  8 Al 3.13
Tb (0.0000, 0.0000, 0.1859)  8 Al 3.13-3.14
Tb (0.0000, 0.0000, 0.3726)  4 Al 3.13
Tb (0.0000, 0.0000, 0.6274)  4 Al 3.13
Tb (0.0000, 0.0000, 0.8141)  8 Al 3.13-3.14
Dy (0.5000, 0.5000, 0.5000)  8 Tb 3.57, 4 Dy 3.59
Al (0.5000, 0.5000, 0.0930)  8 Tb 3.13
Al (0.5000, 0.5000, 0.2797)  8 Tb 3.13-3.14
Al (0.5000, 0.5000, 0.7203)  8 Tb 3.13-3.14
Al (0.5000, 0.5000, 0.9070)  8 Tb 3.13



# 8
VASP calculation (PBE) on Pr2ErGa3Pt4 after structural relaxation.

Results
Its formation energy is -991 meV per atom.

Lattice parameters (Å, degrees): 4.2765 4.2765 11.3785 90.00 90.00 90.00
Closest atoms and distances in Å follow each position.
Positions (direct):
Pr (0.0000, 0.5000, 0.2289)  4 Ga 3.25, 8 Pt 3.30-3.37
Pr (0.5000, 0.0000, 0.7711)  4 Ga 3.25, 8 Pt 3.30-3.37
Er (0.0000, 0.0000, 0.5000)  4 Pt 2.77, 4 Ga 3.02
Ga (0.0000, 0.5000, 0.8765)  5 Pt 2.52-2.56
Ga (0.5000, 0.0000, 0.1235)  5 Pt 2.52-2.56
Ga (0.5000, 0.5000, 0.5000)  4 Pt 2.77, 4 Er 3.02
Pt (0.0000, 0.0000, 0.0000)  4 Ga 2.56
Pt (0.0000, 0.5000, 0.6551)  3 Ga 2.52-2.77, 2 Er 2.77
Pt (0.5000, 0.0000, 0.3449)  3 Ga 2.52-2.77, 2 Er 2.77
Pt (0.5000, 0.5000, 0.0000)  4 Ga 2.56



# 9
VASP calculation (PBE) on SmAuBr6 after structural relaxation.

Results
As for the uncorrected formation energy: -0.91 eV per atom.

Lattice parameters (Å, degrees): 5.9225 7.3578 7.9910 68.93 72.88 86.11
Closest atoms and distances in Å follow each position.
Positions (direct):
Sm (0.0000, 0.0000, 0.0000)  6 Br 2.75-2.97
Au (0.5000, 0.5000, 0.0000)  4 Br 2.49-2.53
Br (0.0223, 0.8077, 0.3601)  1 Sm 2.75
Br (0.2769, 0.3754, 0.8340)  1 Au 2.53
Br (0.4252, 0.8363, 0.8078)  1 Au 2.49
Br (0.5748, 0.1637, 0.1922)  1 Au 2.49
Br (0.7231, 0.6246, 0.1660)  1 Au 2.53
Br (0.9777, 0.1923, 0.6399)  1 Sm 2.75



# 10
VASP calculation (PBE) on Ho2PPt3 after structural relaxation.

Results
Its formation energy is -1187 meV per atom.

Lattice parameters (Å, degrees): 8.5972 8.3356 5.6745 72.93 67.95 39.12
Closest atoms and distances in Å follow each position.
Positions (direct):
Ho (0.2382, 0.7618, 0.7618)  10 Pt 3.10-3.19, 2 P 3.15
Ho (0.2500, 0.2500, 0.2500)  8 Pt 3.04-3.05, 4 P 3.10
Ho (0.7500, 0.7500, 0.7500)  8 Pt 3.04-3.05, 4 P 3.10
Ho (0.7618, 0.2382, 0.2382)  10 Pt 3.10-3.19, 2 P 3.15
P (0.3344, 0.3344, 0.6656)  3 Pt 2.32-2.34
P (0.6656, 0.6656, 0.3344)  3 Pt 2.32-2.34
Pt (0.1775, 0.1775, 0.8225)  1 P 2.34
Pt (0.1767, 0.6472, 0.3528)  1 P 2.32
Pt (0.3528, 0.8233, 0.1767)  1 P 2.32
Pt (0.6472, 0.1767, 0.8233)  1 P 2.32
Pt (0.8233, 0.3528, 0.6472)  1 P 2.32
Pt (0.8225, 0.8225, 0.1775)  1 P 2.34



# 11
VASP calculation (PBE) on Tl9SnBi2 after structural relaxation.

Results
Its formation energy is -4 meV per atom.

Lattice parameters (Å, degrees): 4.9739 4.9739 15.0117 90.00 90.00 90.00
Closest atoms and distances in Å follow each position.
Positions (direct):
Tl (0.0000, 0.0000, 0.0000)  8 Tl 3.51, 4 Sn 3.52
Tl (0.0000, 0.0000, 0.3340)  4 Bi 3.52, 8 Tl 3.52-3.55
Tl (0.0000, 0.0000, 0.6660)  4 Bi 3.52, 8 Tl 3.52-3.55
Tl (0.0000, 0.5000, 0.1649)  8 Tl 3.51-3.55, 2 Sn 3.51, 2 Bi 3.52
Tl (0.0000, 0.5000, 0.5000)  8 Tl 3.52, 4 Bi 3.56
Tl (0.0000, 0.5000, 0.8351)  8 Tl 3.51-3.55, 2 Sn 3.51, 2 Bi 3.52
Tl (0.5000, 0.0000, 0.1649)  8 Tl 3.51-3.55, 2 Sn 3.51, 2 Bi 3.52
Tl (0.5000, 0.0000, 0.5000)  8 Tl 3.52, 4 Bi 3.56
Tl (0.5000, 0.0000, 0.8351)  8 Tl 3.51-3.55, 2 Sn 3.51, 2 Bi 3.52
Sn (0.5000, 0.5000, 0.0000)  12 Tl 3.51-3.52
Bi (0.5000, 0.5000, 0.3307)  12 Tl 3.52-3.56
Bi (0.5000, 0.5000, 0.6693)  12 Tl 3.52-3.56



# 12
VASP calculation (PBE) on Cu8NiPd2 after structural relaxation.

Results
The calculation puts the relative energy among the computed polymorphs at 1.07 eV per formula unit. Its formation energy is 128 meV per atom.

Lattice parameters (Å, degrees): 7.1623 7.1623 4.4274 106.80 106.80 124.92
Closest atoms and distances in Å follow each position.
Positions (direct):
Cu (0.1021, 0.3617, 0.7224)  5 Cu 2.37-2.64, 2 Pd 2.61-2.63
Cu (0.1939, 0.8061, 0.0000)  1 Ni 2.46, 4 Pd 2.59-2.69, 6 Cu 2.63-2.67
Cu (0.3617, 0.1021, 0.7224)  5 Cu 2.37-2.64, 2 Pd 2.61-2.63
Cu (0.4568, 0.4568, 0.2147)  4 Cu 2.21-2.37
Cu (0.5432, 0.5432, 0.7853)  4 Cu 2.21-2.37
Cu (0.6383, 0.8979, 0.2776)  5 Cu 2.37-2.64, 2 Pd 2.61-2.63
Cu (0.8061, 0.1939, 0.0000)  1 Ni 2.46, 4 Pd 2.59-2.69, 6 Cu 2.63-2.67
Cu (0.8979, 0.6383, 0.2776)  5 Cu 2.37-2.64, 2 Pd 2.61-2.63
Ni (0.0000, 0.0000, 0.0000)  4 Cu 2.46-2.54
Pd (0.3142, 0.6858, 0.5000)  12 Cu 2.59-2.81
Pd (0.6858, 0.3142, 0.5000)  12 Cu 2.59-2.81



no.,uncorrected energy (eV per atom),magnetization (μB per formula unit)
1,-4.232,0.00
2,-4.721,0.00
3,-6.335,0.00
4,-4.921,0.00
5,-5.391,0.00
6,-8.866,2.94
7,-4.579,0.00
8,-5.727,0.00
9,-3.166,0.00
10,-6.635,0.00
11,-2.759,0.00
12,-4.321,0.00